(1)
Material: Ca2SbPd2
Method: DFT, SCAN
State: PBEsol geometry

Cell and atoms, written as CIF:
```
data_Ca2SbPd2
_symmetry_space_group_name_H-M 'P 1'
_symmetry_Int_Tables_number 1
_cell_length_a 7.270
_cell_length_b 7.270
_cell_length_c 4.116
_cell_angle_alpha 90.00
_cell_angle_beta 90.00
_cell_angle_gamma 90.00
loop_
_symmetry_equiv_pos_as_xyz
'x,y,z'
loop_
_atom_site_label
_atom_site_fract_x
_atom_site_fract_y
_atom_site_fract_z
Ca1 0.173 0.327 0.000
Ca2 0.327 0.827 0.000
Ca3 0.673 0.173 0.000
Ca4 0.827 0.673 0.000
Sb1 0.000 0.000 0.500
Sb2 0.500 0.500 0.500
Pd1 0.134 0.634 0.500
Pd2 0.366 0.134 0.500
Pd3 0.634 0.866 0.500
Pd4 0.866 0.366 0.500
```

Results
Total magnetic moment = 0.00 μB/f.u.
Calculated total energy = -252.4 eV per cell
E_form (uncorrected) = -816 meV/atom
Density of states at the Fermi level = 4.42 states/eV per cell

(2)
Material: Mn2CrCl
Method: DFT, SCAN
State: PBEsol geometry

Cell and atoms, written as CIF:
```
data_Mn2CrCl
_symmetry_space_group_name_H-M 'P 1'
_symmetry_Int_Tables_number 1
_cell_length_a 3.297
_cell_length_b 3.297
_cell_length_c 4.443
_cell_angle_alpha 90.00
_cell_angle_beta 90.00
_cell_angle_gamma 90.00
loop_
_symmetry_equiv_pos_as_xyz
'x,y,z'
loop_
_atom_site_label
_atom_site_fract_x
_atom_site_fract_y
_atom_site_fract_z
Mn1 0.000 0.500 0.000
Mn2 0.500 0.000 0.000
Cr1 0.000 0.000 0.500
Cl1 0.500 0.500 0.500
```

Results
Total magnetic moment = 5.00 μB/f.u.
Calculated total energy = -59.5 eV per cell
E_form (uncorrected) = 832 meV/atom
Density of states at the Fermi level = 3.31 states/eV per cell

(3)
Material: Cs2InSbBr6
Method: DFT, SCAN
State: PBEsol geometry

Cell and atoms, written as CIF:
```
data_Cs2InSbBr6
_symmetry_space_group_name_H-M 'P 1'
_symmetry_Int_Tables_number 1
_cell_length_a 8.127
_cell_length_b 8.127
_cell_length_c 8.127
_cell_angle_alpha 60.00
_cell_angle_beta 60.00
_cell_angle_gamma 60.00
loop_
_symmetry_equiv_pos_as_xyz
'x,y,z'
loop_
_atom_site_label
_atom_site_fract_x
_atom_site_fract_y
_atom_site_fract_z
Cs1 0.250 0.250 0.250
Cs2 0.750 0.750 0.750
In1 0.000 0.000 0.000
Sb1 0.500 0.500 0.500
Br1 0.257 0.257 0.743
Br2 0.257 0.743 0.257
Br3 0.257 0.743 0.743
Br4 0.743 0.257 0.257
Br5 0.743 0.257 0.743
Br6 0.743 0.743 0.257
```

Results
Total magnetic moment = 0.00 μB/f.u.
Calculated total energy = -275.4 eV per cell
E_form (uncorrected) = -1241 meV/atom
Density of states at the Fermi level = 0.10 states/eV per cell

(4)
Material: Zn2CoSiHg
Method: DFT, SCAN
State: PBEsol geometry

Cell and atoms, written as CIF:
```
data_Zn2CoSiHg
_symmetry_space_group_name_H-M 'P 1'
_symmetry_Int_Tables_number 1
_cell_length_a 4.753
_cell_length_b 4.753
_cell_length_c 4.821
_cell_angle_alpha 90.00
_cell_angle_beta 90.00
_cell_angle_gamma 90.00
loop_
_symmetry_equiv_pos_as_xyz
'x,y,z'
loop_
_atom_site_label
_atom_site_fract_x
_atom_site_fract_y
_atom_site_fract_z
Zn1 0.000 0.500 0.000
Zn2 0.500 0.000 0.000
Co1 0.000 0.000 0.500
Si1 0.500 0.500 0.500
Hg1 0.000 0.000 0.000
```

Results
Total magnetic moment = 1.93 μB/f.u.
Calculated total energy = -116.7 eV per cell
E_form (uncorrected) = 1171 meV/atom
Density of states at the Fermi level = 3.69 states/eV per cell

(5)
Material: Ba2TaTe
Method: DFT, SCAN
State: PBEsol geometry

Cell and atoms, written as CIF:
```
data_Ba2TaTe
_symmetry_space_group_name_H-M 'P 1'
_symmetry_Int_Tables_number 1
_cell_length_a 4.264
_cell_length_b 4.264
_cell_length_c 7.594
_cell_angle_alpha 90.00
_cell_angle_beta 90.00
_cell_angle_gamma 90.00
loop_
_symmetry_equiv_pos_as_xyz
'x,y,z'
loop_
_atom_site_label
_atom_site_fract_x
_atom_site_fract_y
_atom_site_fract_z
Ba1 0.000 0.000 0.244
Ba2 0.000 0.000 0.756
Ta1 0.500 0.500 0.500
Te1 0.500 0.500 0.000
```

Results
Total magnetic moment = 4.32 μB/f.u.
Calculated total energy = -182.6 eV per cell
E_form (uncorrected) = 91 meV/atom
Density of states at the Fermi level = 1.79 states/eV per cell

(6)
Material: Ag2OsBr
Method: DFT, SCAN
State: PBEsol geometry

Cell and atoms, written as CIF:
```
data_Ag2OsBr
_symmetry_space_group_name_H-M 'P 1'
_symmetry_Int_Tables_number 1
_cell_length_a 2.936
_cell_length_b 2.936
_cell_length_c 9.490
_cell_angle_alpha 90.00
_cell_angle_beta 90.00
_cell_angle_gamma 121.85
loop_
_symmetry_equiv_pos_as_xyz
'x,y,z'
loop_
_atom_site_label
_atom_site_fract_x
_atom_site_fract_y
_atom_site_fract_z
Ag1 0.000 0.000 0.000
Ag2 0.500 0.500 0.249
Os1 0.500 0.500 0.754
Br1 0.000 0.000 0.537
```

Results
Total magnetic moment = 0.00 μB/f.u.
Calculated total energy = -150.8 eV per cell
E_form (uncorrected) = 817 meV/atom
Density of states at the Fermi level = 2.50 states/eV per cell

(7)
Material: CrBiB3
Method: DFT, SCAN
State: PBEsol geometry

Cell and atoms, written as CIF:
```
data_CrBiB3
_symmetry_space_group_name_H-M 'P 1'
_symmetry_Int_Tables_number 1
_cell_length_a 4.003
_cell_length_b 4.003
_cell_length_c 4.003
_cell_angle_alpha 90.00
_cell_angle_beta 90.00
_cell_angle_gamma 90.00
loop_
_symmetry_equiv_pos_as_xyz
'x,y,z'
loop_
_atom_site_label
_atom_site_fract_x
_atom_site_fract_y
_atom_site_fract_z
Cr1 0.000 0.000 0.000
Bi1 0.500 0.500 0.500
B1 0.000 0.000 0.500
B2 0.000 0.500 0.000
B3 0.500 0.000 0.000
```

Results
ΔH_f (0 K) = 1.24 eV per atom
Total magnetic moment = 0.00 μB/f.u.
Calculated total energy = -113.1 eV per cell
Density of states at the Fermi level = 2.28 states/eV per cell

(8)
Material: ZnTc
Method: DFT, SCAN
State: PBEsol geometry

Cell and atoms, written as CIF:
```
data_ZnTc
_symmetry_space_group_name_H-M 'P 1'
_symmetry_Int_Tables_number 1
_cell_length_a 4.529
_cell_length_b 4.529
_cell_length_c 4.725
_cell_angle_alpha 96.94
_cell_angle_beta 96.94
_cell_angle_gamma 34.82
loop_
_symmetry_equiv_pos_as_xyz
'x,y,z'
loop_
_atom_site_label
_atom_site_fract_x
_atom_site_fract_y
_atom_site_fract_z
Zn1 0.124 0.124 0.395
Zn2 0.876 0.876 0.605
Tc1 0.376 0.376 0.102
Tc2 0.624 0.624 0.898
```

Results
ΔH_f (0 K) = 0.05 eV per atom
Total magnetic moment = 0.00 μB/f.u.
Calculated total energy = -97.0 eV per cell
Density of states at the Fermi level = 2.43 states/eV per cell

(9)
Material: ZnInCl2
Method: DFT, SCAN
State: PBEsol geometry

Cell and atoms, written as CIF:
```
data_ZnInCl2
_symmetry_space_group_name_H-M 'P 1'
_symmetry_Int_Tables_number 1
_cell_length_a 5.583
_cell_length_b 5.583
_cell_length_c 5.583
_cell_angle_alpha 143.46
_cell_angle_beta 117.76
_cell_angle_gamma 74.38
loop_
_symmetry_equiv_pos_as_xyz
'x,y,z'
loop_
_atom_site_label
_atom_site_fract_x
_atom_site_fract_y
_atom_site_fract_z
Zn1 0.000 0.000 0.000
In1 0.761 0.261 0.500
Cl1 0.190 0.690 0.500
Cl2 0.519 0.519 0.000
```

Results
Total magnetic moment = 0.00 μB/f.u.
Calculated total energy = -65.3 eV per cell
E_form (uncorrected) = -617 meV/atom
Density of states at the Fermi level = 0.82 states/eV per cell

(10)
Material: K2P2WO9
Method: DFT, SCAN
State: PBEsol geometry

Cell and atoms, written as CIF:
```
data_K2P2WO9
_symmetry_space_group_name_H-M 'P 1'
_symmetry_Int_Tables_number 1
_cell_length_a 8.031
_cell_length_b 8.031
_cell_length_c 15.535
_cell_angle_alpha 98.45
_cell_angle_beta 98.45
_cell_angle_gamma 60.56
loop_
_symmetry_equiv_pos_as_xyz
'x,y,z'
loop_
_atom_site_label
_atom_site_fract_x
_atom_site_fract_y
_atom_site_fract_z
K1 0.014 0.694 0.763
K2 0.079 0.221 0.970
K3 0.221 0.079 0.470
K4 0.306 0.986 0.737
K5 0.694 0.014 0.263
K6 0.779 0.921 0.530
K7 0.921 0.779 0.030
K8 0.986 0.306 0.237
P1 0.268 0.654 0.577
P2 0.284 0.457 0.153
P3 0.346 0.732 0.923
P4 0.457 0.284 0.653
P5 0.543 0.716 0.347
P6 0.654 0.268 0.077
P7 0.716 0.543 0.847
P8 0.732 0.346 0.423
W1 0.242 0.533 0.363
W2 0.467 0.758 0.137
W3 0.533 0.242 0.863
W4 0.758 0.467 0.637
O1 0.022 0.689 0.311
O2 0.105 0.447 0.119
O3 0.128 0.814 0.634
O4 0.183 0.673 0.480
O5 0.186 0.872 0.866
O6 0.200 0.349 0.383
O7 0.278 0.646 0.143
O8 0.288 0.454 0.598
O9 0.311 0.978 0.189
O10 0.327 0.817 0.020
O11 0.349 0.200 0.883
O12 0.354 0.722 0.357
O13 0.358 0.403 0.250
O14 0.366 0.531 0.915
O15 0.403 0.358 0.750
O16 0.447 0.105 0.619
O17 0.454 0.288 0.098
O18 0.469 0.634 0.585
O19 0.531 0.366 0.415
O20 0.546 0.712 0.902
O21 0.553 0.895 0.381
O22 0.597 0.642 0.250
O23 0.634 0.469 0.085
O24 0.642 0.597 0.750
O25 0.646 0.278 0.643
O26 0.651 0.800 0.117
O27 0.673 0.183 0.980
O28 0.689 0.022 0.811
O29 0.712 0.546 0.402
O30 0.722 0.354 0.857
O31 0.800 0.651 0.617
O32 0.814 0.128 0.134
O33 0.817 0.327 0.520
O34 0.872 0.186 0.366
O35 0.895 0.553 0.881
O36 0.978 0.311 0.689
```

Results
Total magnetic moment = 0.09 μB/f.u.
Calculated total energy = -790.3 eV per cell
E_form (uncorrected) = -2454 meV/atom
Density of states at the Fermi level = 0.00 states/eV per cell